K5Li3P3 (PBE-GGA, relaxed); ΔE_f = -0.2866 eV/atom; D(E_F) = 8.07 states/eV per cell; density = 1.2 Mg/m³
1.0
-4.125 -2.136 -0.919
4.469 -5.616 -7.004
-0.443 -3.227 9.485
P K Li
3 5 3
Direct
0.500 0.634 0.634
0.500 0.000 0.366
0.500 0.366 0.000
0.500 0.000 0.730
0.500 0.333 0.667
0.500 0.730 0.000
0.500 0.270 0.270
0.500 0.667 0.333
0.000 0.633 0.633
0.000 0.000 0.367
0.000 0.367 0.000

Ba3In5Sn6 (PBE-GGA, relaxed); ΔE_f = -0.3613 eV/atom; D(E_F) = 11.70 states/eV per cell; density = 6.3 Mg/m³
1.0
4.948 0.000 0.000
0.000 11.384 0.000
0.000 0.000 15.880
Sn In Ba
12 10 6
Direct
0.500 0.027 0.637
0.000 0.623 0.329
0.500 0.027 0.363
0.500 0.977 0.000
0.000 0.484 0.500
0.500 0.516 0.000
0.500 0.377 0.171
0.000 0.973 0.863
0.000 0.023 0.500
0.000 0.623 0.671
0.500 0.377 0.829
0.000 0.973 0.137
0.500 0.474 0.641
0.000 0.526 0.141
0.500 0.114 0.825
0.500 0.474 0.359
0.000 0.886 0.675
0.500 0.114 0.175
0.000 0.886 0.325
0.500 0.257 0.500
0.000 0.526 0.859
0.000 0.743 0.000
0.500 0.750 0.820
0.500 0.755 0.500
0.000 0.245 0.000
0.000 0.250 0.680
0.000 0.250 0.320
0.500 0.750 0.180

Tb2InRu (PBE-GGA, relaxed); ΔE_f = -0.4424 eV/atom; D(E_F) = 2.69 states/eV per cell; ΔE to the lowest computed polymorph = 0 meV per atom; density = 9.3 Mg/m³
1.0
3.434 0.000 0.000
0.000 3.434 0.000
0.000 0.000 8.069
In Tb Ru
1 2 1
Direct
0.500 0.500 0.500
0.000 0.000 0.207
0.000 0.000 0.793
0.500 0.500 0.000

ReTeSCl2 (PBE-GGA, relaxed); uncorrected formation energy = 1.18 eV/atom; D(E_F) = 0.84 states/eV per cell; ΔE to the lowest computed polymorph = 792 meV per atom; density = 4.7 Mg/m³
1.0
-4.422 2.598 -1.396
-1.301 -3.977 -3.278
-2.617 -2.359 3.901
Cl S Te Re
2 1 1 1
Direct
0.500 0.000 0.000
0.000 0.500 0.000
0.000 0.000 0.500
0.000 0.000 0.000
0.500 0.500 0.500

Pa2CuC (PBE-GGA, relaxed); ΔE_f = 0.0660 eV/atom; D(E_F) = 3.52 states/eV per cell; ΔE to the lowest computed polymorph = 0 meV per atom; density = 13.5 Mg/m³
1.0
3.027 0.000 0.000
0.000 3.027 0.000
0.000 0.000 7.240
Pa Cu C
2 1 1
Direct
0.000 0.000 0.794
0.000 0.000 0.206
0.500 0.500 0.500
0.500 0.500 0.000

Y2TaPb (PBE-GGA, relaxed); ΔE_f = 0.2647 eV/atom; D(E_F) = 4.82 states/eV per cell; density = 9.0 Mg/m³
1.0
5.388 -0.004 0.014
4.382 3.135 0.014
0.918 0.294 6.202
Y Pb Ta
2 1 1
Direct
0.996 0.996 0.010
0.504 0.504 0.490
0.750 0.750 0.750
0.250 0.250 0.250

La6Ho8Mg (PBE-GGA, relaxed); ΔE_f = 0.1227 eV/atom; D(E_F) = 18.27 states/eV per cell; density = 7.1 Mg/m³
1.0
6.361 0.000 0.000
0.000 8.312 -4.799
0.000 0.000 9.598
Mg La Ho
1 6 8
Direct
0.500 0.000 0.000
0.311 0.551 0.638
0.689 0.913 0.551
0.311 0.087 0.449
0.689 0.638 0.087
0.689 0.449 0.362
0.311 0.362 0.913
0.811 0.041 0.262
0.811 0.738 0.779
0.828 0.333 0.667
0.172 0.667 0.333
0.811 0.221 0.959
0.189 0.262 0.221
0.189 0.959 0.738
0.189 0.779 0.041

LiZn4Rh2 (PBE-GGA, relaxed); ΔE_f = -0.3620 eV/atom; D(E_F) = 2.00 states/eV per cell; density = 7.4 Mg/m³
1.0
4.885 0.041 -1.694
-2.423 4.205 -1.783
0.024 -0.041 5.170
Zn Li Rh
4 1 2
Direct
0.000 0.500 0.000
0.000 0.000 0.500
0.500 0.000 0.000
0.500 0.500 0.500
0.000 0.000 0.000
0.500 0.500 0.000
0.500 0.000 0.500

CsAgCl2 (PBE-GGA, relaxed); uncorrected formation energy = -0.92 eV/atom; D(E_F) = 0.00 states/eV per cell; ΔE to the lowest computed polymorph = 307 meV per atom; density = 4.5 Mg/m³
1.0
0.000 3.864 3.864
3.864 0.000 3.864
3.864 3.864 0.000
Cl Ag Cs
2 1 1
Direct
0.750 0.750 0.750
0.250 0.250 0.250
0.000 0.000 0.000
0.500 0.500 0.500

Ba2MgSb (PBE-GGA, relaxed); uncorrected formation energy = -0.17 eV/atom; D(E_F) = 4.80 states/eV per cell; ΔE to the lowest computed polymorph = 378 meV per atom; density = 4.6 Mg/m³
1.0
5.989 0.000 0.000
2.994 5.186 0.000
2.994 1.729 4.890
Mg Ba Sb
1 2 1
Direct
0.500 0.500 0.500
0.250 0.250 0.250
0.000 0.000 0.000
0.750 0.750 0.750

RbGaAu3 (PBE-GGA, relaxed); ΔE_f = -0.2055 eV/atom; D(E_F) = 2.23 states/eV per cell; ΔE to the lowest computed polymorph = 30 meV per atom; density = 10.4 Mg/m³
1.0
5.474 0.062 -0.034
-0.040 6.062 3.206
-0.142 0.078 7.222
Au Ga Rb
6 2 2
Direct
0.177 0.959 0.807
0.844 0.563 0.002
0.845 0.862 0.502
0.513 0.765 0.196
0.845 0.362 0.501
0.845 0.161 0.002
0.033 0.747 0.232
0.656 0.977 0.771
0.346 0.501 0.723
0.344 0.223 0.280

K3Tl4Sb4 (PBE-GGA, relaxed); uncorrected formation energy = -0.26 eV/atom; D(E_F) = 3.63 states/eV per cell; density = 6.0 Mg/m³
1.0
5.342 0.000 -1.329
-1.012 7.204 -4.068
-0.379 0.704 9.880
K Sb Tl
3 4 4
Direct
0.119 0.119 0.239
0.881 0.881 0.761
0.000 0.500 0.000
0.211 0.711 0.423
0.500 0.171 0.000
0.500 0.829 0.000
0.789 0.289 0.577
0.674 0.879 0.349
0.326 0.530 0.651
0.674 0.470 0.349
0.326 0.121 0.651

Rb5Sm2F12 (PBE-GGA, relaxed); uncorrected formation energy = -3.15 eV/atom; D(E_F) = 17.60 states/eV per cell; density = 4.0 Mg/m³
1.0
6.837 -0.201 1.188
0.646 7.376 3.431
-0.367 0.667 8.125
F Sm Rb
12 2 5
Direct
0.229 0.896 0.306
0.771 0.694 0.104
0.133 0.934 0.934
0.209 0.161 0.559
0.165 0.534 0.534
0.791 0.441 0.839
0.791 0.839 0.441
0.209 0.559 0.161
0.867 0.066 0.066
0.771 0.104 0.694
0.229 0.306 0.896
0.835 0.466 0.466
0.000 0.744 0.256
0.000 0.256 0.744
0.476 0.640 0.640
0.524 0.360 0.360
0.500 0.000 0.000
0.973 0.760 0.760
0.027 0.240 0.240

CeThBiSb (PBE-GGA, relaxed); uncorrected formation energy = -0.84 eV/atom; D(E_F) = 8.14 states/eV per cell; ΔE to the lowest computed polymorph = 0 meV per atom; density = 8.8 Mg/m³
1.0
4.546 0.000 0.000
0.000 4.546 0.000
0.000 0.000 6.448
Sb Bi Th Ce
1 1 1 1
Direct
0.000 0.000 0.500
0.500 0.500 0.000
0.500 0.500 0.500
0.000 0.000 0.000

Pm3InS (PBE-GGA, relaxed); uncorrected formation energy = -1.01 eV/atom; D(E_F) = 17.07 states/eV per cell; ΔE to the lowest computed polymorph = 0 meV per atom; density = 6.7 Mg/m³
1.0
4.057 0.000 0.000
0.000 9.223 0.000
0.000 0.000 15.381
Pm S In
12 4 4
Direct
0.250 0.972 0.390
0.750 0.528 0.890
0.250 0.472 0.110
0.750 0.028 0.610
0.250 0.702 0.713
0.250 0.336 0.512
0.750 0.298 0.287
0.250 0.836 0.988
0.750 0.664 0.488
0.750 0.798 0.213
0.750 0.164 0.012
0.250 0.202 0.787
0.750 0.161 0.446
0.250 0.839 0.554
0.250 0.339 0.946
0.750 0.661 0.054
0.250 0.077 0.175
0.750 0.423 0.675
0.750 0.923 0.825
0.250 0.577 0.325

CrTe2I (PBE-GGA, relaxed); uncorrected formation energy = 0.05 eV/atom; D(E_F) = 4.30 states/eV per cell; ΔE to the lowest computed polymorph = 260 meV per atom; density = 4.1 Mg/m³
1.0
-19.303 -1.887 9.219
-3.213 -7.175 2.407
5.924 -5.666 0.639
Te I Cr
4 2 2
Direct
0.580 0.047 0.676
0.928 0.664 0.059
0.080 0.824 0.453
0.428 0.441 0.836
0.754 0.353 0.366
0.254 0.134 0.147
0.754 0.746 0.758
0.254 0.742 0.754

TbScGa (PBE-GGA, relaxed); ΔE_f = -0.1213 eV/atom; D(E_F) = 7.03 states/eV per cell; ΔE to the lowest computed polymorph = 330 meV per atom; density = 6.1 Mg/m³
1.0
-1.579 -2.742 1.327
2.889 -0.392 -1.810
7.804 1.388 12.157
Ga Sc Tb
2 2 2
Direct
0.667 0.333 0.937
0.333 0.667 0.063
0.667 0.333 0.208
0.333 0.667 0.792
0.667 0.333 0.603
0.333 0.667 0.397